Entry 1:
Computed, not measured: a geometry-optimized Rb2TbDyTe4 structure at the PBE level of DFT.

uncorrected formation energy: -11.101 eV/f.u.
E_tot: -34.84 eV/cell
spin magnetization: 0.00 μB per formula unit
calculated volume: 304.53 Å³ per cell

The structure in CIF format:
```
data_Rb2TbDyTe4
_symmetry_space_group_name_H-M 'P 1 2/m 1'
_symmetry_Int_Tables_number 10
_symmetry_space_group_name_Hall '-P 2y'
_cell_length_a 7.852
_cell_length_b 4.534
_cell_length_c 8.945
_cell_angle_alpha 90.00
_cell_angle_beta 107.01
_cell_angle_gamma 90.00
loop_
_atom_site_label
_atom_site_type_symbol
_atom_site_fract_x
_atom_site_fract_y
_atom_site_fract_z
Rb1 Rb 0.000 0.000 0.000
Rb2 Rb 0.500 0.500 0.000
Tb1 Tb 0.000 0.500 0.500
Dy1 Dy 0.500 0.000 0.500
Te1 Te 0.234 0.000 0.700
Te2 Te 0.268 0.500 0.301
```

=====

Entry 2:
Computed, not measured: a geometry-optimized Tb8NiPd2 structure at the PBE level of DFT.

density of states at the Fermi level: 25.44 states/eV per cell
ΔE to the lowest computed polymorph: 0.000 eV per atom
E_tot: -114.40 eV/cell
spin magnetization: 0.00 μB per formula unit
calculated volume: 575.10 Å³ per cell

The structure in CIF format:
```
data_Tb8NiPd2
_symmetry_space_group_name_H-M 'C 1 2/m 1'
_symmetry_Int_Tables_number 12
_symmetry_space_group_name_Hall '-C 2y'
_cell_length_a 17.332
_cell_length_b 5.066
_cell_length_c 6.738
_cell_angle_alpha 90.00
_cell_angle_beta 103.55
_cell_angle_gamma 90.00
loop_
_atom_site_label
_atom_site_type_symbol
_atom_site_fract_x
_atom_site_fract_y
_atom_site_fract_z
Tb1 Tb 0.031 0.000 0.285
Tb2 Tb 0.089 0.500 0.946
Tb3 Tb 0.163 0.500 0.476
Tb4 Tb 0.204 0.000 0.826
Ni1 Ni 0.000 0.500 0.500
Pd1 Pd 0.191 0.000 0.236
```

=====

What did the second record say?
Computed, not measured: a geometry-optimized Tb8NiPd2 structure at the PBE level of DFT.

density of states at the Fermi level: 25.44 states/eV per cell
ΔE to the lowest computed polymorph: 0.000 eV per atom
E_tot: -114.40 eV/cell
spin magnetization: 0.00 μB per formula unit
calculated volume: 575.10 Å³ per cell

The structure in CIF format:
```
data_Tb8NiPd2
_symmetry_space_group_name_H-M 'C 1 2/m 1'
_symmetry_Int_Tables_number 12
_symmetry_space_group_name_Hall '-C 2y'
_cell_length_a 17.332
_cell_length_b 5.066
_cell_length_c 6.738
_cell_angle_alpha 90.00
_cell_angle_beta 103.55
_cell_angle_gamma 90.00
loop_
_atom_site_label
_atom_site_type_symbol
_atom_site_fract_x
_atom_site_fract_y
_atom_site_fract_z
Tb1 Tb 0.031 0.000 0.285
Tb2 Tb 0.089 0.500 0.946
Tb3 Tb 0.163 0.500 0.476
Tb4 Tb 0.204 0.000 0.826
Ni1 Ni 0.000 0.500 0.500
Pd1 Pd 0.191 0.000 0.236
```

=====

- What is the spin magnetization in the second record?
  0.00 μB per formula unit

=====

- spin magnetization of number 1 (Rb2TbDyTe4)?
  0.00 μB per formula unit